(1)
Here is SnBiTeSe2 after structural relaxation from Alexandria. Energies are from PBE.

CIF file:
```
data_SnBiTeSe2
_cell_length_a 7.565
_cell_length_b 4.129
_cell_length_c 12.415
_cell_angle_alpha 90.00
_cell_angle_beta 106.37
_cell_angle_gamma 90.00
_space_group_name_H-M_alt 'P 1 21/m 1'
_space_group_IT_number 11
loop_
_space_group_symop_operation_xyz
'x,y,z'
'-x,-y,-z'
'-x,y+1/2,-z'
'x,-y+1/2,z'
loop_
_atom_site_label
_atom_site_fract_x
_atom_site_fract_y
_atom_site_fract_z
Sn1 0.242 0.250 0.129
Bi1 0.245 0.750 0.506
Te1 0.151 0.250 0.669
Se1 0.003 0.750 0.131
Se2 0.360 0.250 0.367
```

Values from the calculation:
- ρ (g/cm³) = 5.47
- formation energy from raw total energies (eV per atom) = -0.20

(2)
Here is MoPt3 after structural relaxation from Alexandria. Energies are from PBE.

CIF file:
```
data_MoPt3
_cell_length_a 7.436
_cell_length_b 7.461
_cell_length_c 4.832
_cell_angle_alpha 90.00
_cell_angle_beta 90.00
_cell_angle_gamma 90.00
_space_group_name_H-M_alt 'C m c m'
_space_group_IT_number 63
_space_group_name_Hall '-C 2c 2'
loop_
_atom_site_label
_atom_site_fract_x
_atom_site_fract_y
_atom_site_fract_z
Mo1 0.000 0.110 0.250
Pt1 0.000 0.457 0.250
Pt2 0.179 0.207 0.750
```

Values from the calculation:
- energy of formation from the pure elements (kJ/mol of formula units) = 17
- ρ (g/cm³) = 16.88

(3)
Here is BeZnAg2 after structural relaxation from Alexandria. Energies are from PBE.

CIF file:
```
data_BeZnAg2
_cell_length_a 2.850
_cell_length_b 4.109
_cell_length_c 5.214
_cell_angle_alpha 90.00
_cell_angle_beta 105.64
_cell_angle_gamma 90.00
_space_group_name_H-M_alt 'P 1 m 1'
_space_group_IT_number 6
loop_
_space_group_symop_operation_xyz
'x,y,z'
'x,-y,z'
loop_
_atom_site_label
_atom_site_fract_x
_atom_site_fract_y
_atom_site_fract_z
Be1 0.000 0.000 0.000
Zn1 0.139 0.500 0.268
Ag1 0.410 0.500 0.814
Ag2 0.745 0.000 0.480
```

Values from the calculation:
- energy of formation from the pure elements (kJ/mol of formula units) = 43
- ρ (g/cm³) = 8.20
- energy above the most stable polymorph in this dataset (meV/atom) = 39

(4)
Here is CrReSb2 after structural relaxation from Alexandria. Energies are from PBE.

CIF file:
```
data_CrReSb2
_cell_length_a 4.204
_cell_length_b 3.850
_cell_length_c 9.592
_cell_angle_alpha 90.00
_cell_angle_beta 90.00
_cell_angle_gamma 90.00
_space_group_name_H-M_alt 'A m m 2'
_space_group_IT_number 38
loop_
_space_group_symop_operation_xyz
'x,y,z'
'-x,-y,z'
'-x,y,z'
'x,-y,z'
'x,y+1/2,z+1/2'
'-x,-y+1/2,z+1/2'
'-x,y+1/2,z+1/2'
'x,-y+1/2,z+1/2'
loop_
_atom_site_label
_atom_site_fract_x
_atom_site_fract_y
_atom_site_fract_z
Cr1 0.000 0.000 0.000
Re1 0.500 0.000 0.132
Sb1 0.000 0.000 0.713
Sb2 0.500 0.000 0.424
```

Values from the calculation:
- ρ (g/cm³) = 10.31
- energy above the most stable polymorph in this dataset (meV/atom) = 135
- formation energy from raw total energies (eV per atom) = 0.36

(5)
Here is Tb3Er4Sc after structural relaxation from Alexandria. Energies are from PBE.

CIF file:
```
data_Tb3Er4Sc
_cell_length_a 8.705
_cell_length_b 8.705
_cell_length_c 12.692
_cell_angle_alpha 90.00
_cell_angle_beta 90.00
_cell_angle_gamma 90.00
_space_group_name_H-M_alt 'I 4/m c m'
_space_group_IT_number 140
_space_group_name_Hall '-I 4 2c'
loop_
_atom_site_label
_atom_site_fract_x
_atom_site_fract_y
_atom_site_fract_z
Tb1 0.000 0.000 0.250
Tb2 0.147 0.353 0.000
Er1 0.151 0.349 0.338
Sc1 0.000 0.000 0.000
```

Values from the calculation:
- energy of formation from the pure elements (kJ/mol of formula units) = 68
- ρ (g/cm³) = 8.22
- energy above the most stable polymorph in this dataset (meV/atom) = 75

(6)
Here is Sb2TeN after structural relaxation from Alexandria. Energies are from PBE.

CIF file:
```
data_Sb2TeN
_cell_length_a 7.058
_cell_length_b 7.058
_cell_length_c 7.058
_cell_angle_alpha 90.00
_cell_angle_beta 90.00
_cell_angle_gamma 90.00
_space_group_name_H-M_alt 'F m -3 m'
_space_group_IT_number 225
_space_group_name_Hall '-F 4 2 3'
loop_
_atom_site_label
_atom_site_fract_x
_atom_site_fract_y
_atom_site_fract_z
Sb1 0.250 0.250 0.250
Te1 0.000 0.000 0.000
N1 0.000 0.000 0.500
```

Values from the calculation:
- ρ (g/cm³) = 7.28
- energy above the most stable polymorph in this dataset (meV/atom) = 638
- formation energy from raw total energies (eV per atom) = 1.19

(7)
Here is Ba2CePaSb4 after structural relaxation from Alexandria. Energies are from PBE.

CIF file:
```
data_Ba2CePaSb4
_cell_length_a 8.059
_cell_length_b 4.656
_cell_length_c 8.345
_cell_angle_alpha 90.00
_cell_angle_beta 108.75
_cell_angle_gamma 90.00
_space_group_name_H-M_alt 'P 1 2/m 1'
_space_group_IT_number 10
loop_
_space_group_symop_operation_xyz
'x,y,z'
'-x,-y,-z'
'-x,y,-z'
'x,-y,z'
loop_
_atom_site_label
_atom_site_fract_x
_atom_site_fract_y
_atom_site_fract_z
Ba1 0.000 0.000 0.000
Ba2 0.500 0.500 0.000
Ce1 0.000 0.500 0.500
Pa1 0.500 0.000 0.500
Sb1 0.247 0.000 0.710
Sb2 0.273 0.500 0.292
```

Values from the calculation:
- ρ (g/cm³) = 6.34
- formation energy from raw total energies (eV per atom) = -0.90

(8)
Here is Li3SBr after structural relaxation from Alexandria. Energies are from PBE.

CIF file:
```
data_Li3SBr
_cell_length_a 4.637
_cell_length_b 4.637
_cell_length_c 4.637
_cell_angle_alpha 90.00
_cell_angle_beta 90.00
_cell_angle_gamma 90.00
_space_group_name_H-M_alt 'P m -3 m'
_space_group_IT_number 221
_space_group_name_Hall '-P 4 2 3'
loop_
_atom_site_label
_atom_site_fract_x
_atom_site_fract_y
_atom_site_fract_z
Li1 0.000 0.000 0.500
S1 0.000 0.000 0.000
Br1 0.500 0.500 0.500
```

Values from the calculation:
- ρ (g/cm³) = 2.21
- energy above the most stable polymorph in this dataset (meV/atom) = 0
- formation energy from raw total energies (eV per atom) = -1.31

(9)
Here is Sb2MoSe after structural relaxation from Alexandria. Energies are from PBE.

CIF file:
```
data_Sb2MoSe
_cell_length_a 9.018
_cell_length_b 3.322
_cell_length_c 6.675
_cell_angle_alpha 90.00
_cell_angle_beta 108.38
_cell_angle_gamma 90.00
_space_group_name_H-M_alt 'C 1 m 1'
_space_group_IT_number 8
loop_
_space_group_symop_operation_xyz
'x,y,z'
'x,-y,z'
'x+1/2,y+1/2,z'
'x+1/2,-y+1/2,z'
loop_
_atom_site_label
_atom_site_fract_x
_atom_site_fract_y
_atom_site_fract_z
Sb1 0.000 0.000 0.000
Sb2 0.195 0.000 0.716
Mo1 0.138 0.500 0.356
Se1 0.348 0.000 0.354
```

Values from the calculation:
- ρ (g/cm³) = 7.32
- formation energy from raw total energies (eV per atom) = 0.00

(10)
Here is TbEr3 after structural relaxation from Alexandria. Energies are from PBE.

CIF file:
```
data_TbEr3
_cell_length_a 4.963
_cell_length_b 4.963
_cell_length_c 9.936
_cell_angle_alpha 90.00
_cell_angle_beta 90.00
_cell_angle_gamma 90.00
_space_group_name_H-M_alt 'I 4/m m m'
_space_group_IT_number 139
_space_group_name_Hall '-I 4 2'
loop_
_atom_site_label
_atom_site_fract_x
_atom_site_fract_y
_atom_site_fract_z
Tb1 0.000 0.000 0.000
Er1 0.000 0.000 0.500
Er2 0.000 0.500 0.250
```

Values from the calculation:
- energy of formation from the pure elements (kJ/mol of formula units) = 9
- ρ (g/cm³) = 8.97
- energy above the most stable polymorph in this dataset (meV/atom) = 20

(11)
Here is KWI2N after structural relaxation from Alexandria. Energies are from PBE.

CIF file:
```
data_KWI2N
_cell_length_a 5.871
_cell_length_b 5.871
_cell_length_c 3.907
_cell_angle_alpha 90.00
_cell_angle_beta 90.00
_cell_angle_gamma 90.00
_space_group_name_H-M_alt 'P 4/m m m'
_space_group_IT_number 123
_space_group_name_Hall '-P 4 2'
loop_
_atom_site_label
_atom_site_fract_x
_atom_site_fract_y
_atom_site_fract_z
K1 0.000 0.000 0.000
W1 0.500 0.500 0.500
I1 0.000 0.500 0.500
N1 0.500 0.500 0.000
```

Values from the calculation:
- ρ (g/cm³) = 6.05
- energy above the most stable polymorph in this dataset (meV/atom) = 0
- formation energy from raw total energies (eV per atom) = -0.16

(12)
Here is FeMo3S4 after structural relaxation from Alexandria. Energies are from PBE.

CIF file:
```
data_FeMo3S4
_cell_length_a 6.487
_cell_length_b 6.508
_cell_length_c 6.518
_cell_angle_alpha 97.41
_cell_angle_beta 91.29
_cell_angle_gamma 95.86
_space_group_name_H-M_alt 'P -1'
_space_group_IT_number 2
loop_
_space_group_symop_operation_xyz
'x,y,z'
'-x,-y,-z'
loop_
_atom_site_label
_atom_site_fract_x
_atom_site_fract_y
_atom_site_fract_z
Fe1 0.003 0.352 0.095
Mo1 0.220 0.910 0.550
Mo2 0.417 0.037 0.223
Mo3 0.457 0.282 0.598
S1 0.145 0.224 0.385
S2 0.203 0.686 0.214
S3 0.264 0.141 0.879
S4 0.358 0.640 0.732
```

Values from the calculation:
- ρ (g/cm³) = 5.78
- formation energy from raw total energies (eV per atom) = -0.55